The following is a GGA+U calculation of an optimized crystal structure of VBO4, from Alexandria.

Properties
N(E_F) = 0.000 states/eV/cell
total magnetization = 0.00 μB per formula unit
E = -7.62 eV per atom

Lattice parameters (Å, degrees): 4.9681 5.0485 11.4539 90.00 111.06 90.00
With the nearest neighbours (Å) after each atom.
Positions (direct):
1 V 0.1778 0.2344 0.0718  3 O 1.67-1.86
2 V 0.1778 0.2656 0.5718  3 O 1.67-1.86
3 V 0.8222 0.7344 0.4282  3 O 1.67-1.86
4 V 0.8222 0.7656 0.9282  3 O 1.67-1.86
5 B 0.2263 0.0296 0.3298  3 O 1.36-1.40
6 B 0.2263 0.4704 0.8298  3 O 1.36-1.40
7 B 0.7737 0.5296 0.1702  3 O 1.36-1.40
8 B 0.7737 0.9704 0.6702  3 O 1.36-1.40
9 O 0.0931 0.0601 0.4179  1 B 1.40
10 O 0.0931 0.4399 0.9179  1 B 1.40
11 O 0.1145 0.1572 0.2182  1 B 1.36
12 O 0.1145 0.3428 0.7182  1 B 1.36
13 O 0.2538 0.5640 0.5286  1 V 1.67
14 O 0.2538 0.9360 0.0286  1 V 1.67
15 O 0.4775 0.6165 0.8589  1 B 1.38
16 O 0.4775 0.8835 0.3589  1 B 1.38
17 O 0.5225 0.1165 0.6411  1 B 1.38
18 O 0.5225 0.3835 0.1411  1 B 1.38
19 O 0.7462 0.0640 0.9714  1 V 1.67
20 O 0.7462 0.4360 0.4714  1 V 1.67
21 O 0.8855 0.6572 0.2818  1 B 1.36
22 O 0.8855 0.8428 0.7818  1 B 1.36
23 O 0.9069 0.5601 0.0821  1 B 1.40
24 O 0.9069 0.9399 0.5821  1 B 1.40